A geometry-optimized Hg4SbICl structure. Source: Alexandria, functional GGA-PBE.

Uncorrected formation energy in meV/atom: -171.7
Size of the total moment in μB per formula unit: 0.00
Calculated volume in Å³ per atom: 36.60

Geometry as CIF:
```
data_Hg4SbICl
_symmetry_space_group_name_H-M 'P 1 21/m 1'
_symmetry_Int_Tables_number 11
_cell_length_a 7.647
_cell_length_b 8.872
_cell_length_c 7.846
_cell_angle_alpha 90.00
_cell_angle_beta 105.73
_cell_angle_gamma 90.00
loop_
_symmetry_equiv_pos_as_xyz
'x,y,z'
'-x,-y,-z'
'-x,y+1/2,-z'
'x,-y+1/2,z'
loop_
_atom_site_label
_atom_site_fract_x
_atom_site_fract_y
_atom_site_fract_z
Hg1 0.004 0.085 0.277
Hg2 0.245 0.250 0.056
Hg3 0.352 0.250 0.625
Sb1 0.004 0.250 0.720
I1 0.429 0.750 0.669
Cl1 0.267 0.750 0.134
```